(1)
TbNdDyTm2 | PBE | optimized geometry

Unit cell a=7.1715 b=8.3557 c=7.0804 alpha=126.16 beta=90.00 gamma=90.00
Atoms (fractional coordinates):
Dy (0.2500, 0.2781, 0.5562)
Tb (0.2500, 0.9990, 0.9981)
Dy (0.7500, 0.7219, 0.4438)
Nd (0.7500, 0.2730, 0.5460)
Tb (0.7500, 0.0010, 0.0019)
Nd (0.2500, 0.7270, 0.4540)
Tm (0.5000, 0.3115, 0.0000)
Tm (0.0000, 0.3115, 0.0000)
Tm (0.0000, 0.6885, 0.0000)
Tm (0.5000, 0.6885, 0.0000)

Output
Spin magnetization in Bohr magnetons per cell: 0.00
ΔE_f in eV/atom: 0.379

=====

(2)
CoCuTe2 | PBE | optimized geometry

Unit cell a=3.7580 b=3.7580 c=6.7273 alpha=73.55 beta=73.55 gamma=60.10
Atoms (fractional coordinates):
Te (0.4928, 0.4928, 0.5259)
Cu (0.2500, 0.2500, 0.2500)
Co (0.7500, 0.7500, 0.7500)
Te (0.0072, 0.0072, 0.9741)

Output
ΔE to the lowest computed polymorph in eV per atom: 0.003
Spin magnetization in Bohr magnetons per cell: 0.00

=====

(3)
Pm2EuGa | PBE | optimized geometry

Unit cell a=5.4653 b=5.4653 c=5.4653 alpha=60.00 beta=60.00 gamma=60.00
Each line ends with the local moment (μB).
Atoms (fractional coordinates):
Eu (0.0000, 0.0000, 0.0000)  6.93
Ga (0.5000, 0.5000, 0.5000)  -0.04
Pm (0.2500, 0.2500, 0.2500)  0.12
Pm (0.7500, 0.7500, 0.7500)  0.12

Output
ΔE to the lowest computed polymorph in eV per atom: 0.129
Spin magnetization in Bohr magnetons per cell: 7.53
ΔE_f in eV/atom: -0.099

=====

(4)
HRuW2 | PBE | optimized geometry

Unit cell a=6.0515 b=6.0515 c=5.0847 alpha=53.48 beta=53.48 gamma=90.00
Atoms (fractional coordinates):
H (0.5000, 0.5000, 0.0000)
H (0.2500, 0.7500, 0.5000)
W (0.5321, 0.1250, 0.2500)
Ru (0.7500, 0.2500, 0.5000)
W (0.2179, 0.6250, 0.2500)
W (0.8750, 0.7821, 0.7500)
Ru (0.0000, 0.0000, 0.0000)
W (0.3750, 0.4679, 0.7500)

Output
ΔE to the lowest computed polymorph in eV per atom: 0.000
Spin magnetization in Bohr magnetons per cell: 0.00

=====

(5)
LaTaAu2 | PBE | optimized geometry

Unit cell a=5.3118 b=5.3118 c=3.1067 alpha=90.01 beta=90.01 gamma=106.30
Atoms (fractional coordinates):
Ta (0.0000, 0.5000, 0.5000)
Au (0.0000, 0.0000, 0.0000)
La (0.5000, 0.0000, 0.5000)
Au (0.5000, 0.5000, 0.0000)

Output
ΔE to the lowest computed polymorph in eV per atom: 0.111
Spin magnetization in Bohr magnetons per cell: 0.00
ΔE_f in eV/atom: -0.093

=====

(6)
CrAsPb | PBE | optimized geometry

Unit cell a=3.3240 b=3.3240 c=6.3973 alpha=90.00 beta=90.00 gamma=120.00
Each line ends with the local moment (μB).
Atoms (fractional coordinates):
As (0.0000, 0.0000, 0.0669)  -0.11
Pb (0.3333, 0.6667, 0.6405)  -0.05
Cr (0.6667, 0.3333, 0.2927)  1.44

Output
ΔE to the lowest computed polymorph in eV per atom: 0.244
Spin magnetization in Bohr magnetons per cell: 1.23
ΔE_f in eV/atom: 0.300

=====

(7)
Tb3Sm6Pu | PBE | optimized geometry

Unit cell a=5.6061 b=10.0741 c=12.2653 alpha=90.00 beta=104.21 gamma=90.00
Each line ends with the local moment (μB).
Atoms (fractional coordinates):
Tb (0.5000, 0.5000, 0.0000)  -0.05
Sm (0.1422, 0.9989, 0.2612)  0.02
Sm (0.3578, 0.4989, 0.2388)  0.02
Tb (0.5542, 0.8332, 0.1386)  -0.03
Sm (0.4401, 0.8313, 0.8552)  -0.05
Tb (0.9458, 0.3332, 0.3614)  -0.03
Tb (0.0000, 0.0000, 0.5000)  -0.05
Sm (0.0006, 0.3128, 0.9998)  0.01
Pu (0.0000, 0.0000, 0.0000)  5.47
Tb (0.0542, 0.6668, 0.6386)  -0.03
Sm (0.5006, 0.1872, 0.4998)  0.01
Sm (0.4994, 0.8128, 0.5002)  0.01
Sm (0.0599, 0.3313, 0.6448)  -0.05
Tb (0.4458, 0.1668, 0.8614)  -0.03
Sm (0.8578, 0.0011, 0.7388)  0.02
Sm (0.6422, 0.5011, 0.7612)  0.02
Sm (0.9401, 0.6687, 0.3552)  -0.05
Pu (0.5000, 0.5000, 0.5000)  5.47
Sm (0.5599, 0.1687, 0.1448)  -0.05
Sm (0.9994, 0.6872, 0.0002)  0.01

Output
Spin magnetization in Bohr magnetons per cell: 11.06
ΔE_f in eV/atom: 0.232

=====

(8)
YMg3S | PBE | optimized geometry

Unit cell a=5.0087 b=5.0087 c=5.0087 alpha=90.00 beta=90.00 gamma=90.00
Atoms (fractional coordinates):
Mg (0.5000, 0.0000, 0.0000)
S (0.0000, 0.0000, 0.0000)
Mg (0.0000, 0.0000, 0.5000)
Mg (0.0000, 0.5000, 0.0000)
Y (0.5000, 0.5000, 0.5000)

Output
ΔE to the lowest computed polymorph in eV per atom: 0.000
Spin magnetization in Bohr magnetons per cell: 0.00

=====

(9)
SrSiAg2Te4 | PBE | optimized geometry

Unit cell a=8.7567 b=8.7567 c=9.7214 alpha=123.67 beta=123.67 gamma=89.66
Atoms (fractional coordinates):
Te (0.7535, 0.2040, 0.4791)
Te (0.7040, 0.2535, 0.9791)
Te (0.2622, 0.2382, 0.0498)
Si (0.0000, 0.0000, 0.0000)
Te (0.7378, 0.7618, 0.9502)
Ag (0.5000, 0.5000, 0.0000)
Sr (0.0000, 0.5000, 0.5000)
Te (0.2618, 0.2378, 0.4502)
Ag (0.5000, 0.0000, 0.0000)
Te (0.7382, 0.7622, 0.5498)
Te (0.2960, 0.7465, 0.0209)
Ag (0.5000, 0.0000, 0.5000)
Sr (0.0000, 0.5000, 0.0000)
Ag (0.0000, 0.0000, 0.5000)
Si (0.5000, 0.5000, 0.5000)
Te (0.2465, 0.7960, 0.5209)

Output
Spin magnetization in Bohr magnetons per cell: 0.00
Electronic total energy in eV/atom: -3.4308

=====

(10)
MnTcBi3 | PBE | optimized geometry

Unit cell a=5.3230 b=5.3230 c=5.3230 alpha=90.00 beta=90.00 gamma=90.00
Each line ends with the local moment (μB).
Atoms (fractional coordinates):
Mn (0.5000, 0.5000, 0.5000)  -4.39
Tc (0.0000, 0.0000, 0.0000)  -0.07
Bi (0.0000, 0.0000, 0.5000)  0.03
Bi (0.0000, 0.5000, 0.0000)  0.06
Bi (0.5000, 0.0000, 0.0000)  0.03

Output
ΔE to the lowest computed polymorph in eV per atom: 0.000
Spin magnetization in Bohr magnetons per cell: 4.78
ΔE_f in eV/atom: 0.878

=====

(11)
SnPIr2Rh | PBE | optimized geometry

Unit cell a=4.8694 b=4.8320 c=4.8694 alpha=90.00 beta=90.00 gamma=90.00
Each line ends with the local moment (μB).
Atoms (fractional coordinates):
P (0.0000, 0.5000, 0.0000)  0.04
Ir (0.5000, 0.0000, 0.0000)  0.76
Ir (0.0000, 0.0000, 0.5000)  0.65
Rh (0.5000, 0.5000, 0.5000)  1.32
Sn (0.0000, 0.0000, 0.0000)  -0.03

Output
Spin magnetization in Bohr magnetons per cell: 2.81
ΔE_f in eV/atom: 2.020

=====

(12)
Y3Ir | PBE | optimized geometry

Unit cell a=4.6158 b=4.6158 c=4.6158 alpha=90.00 beta=90.00 gamma=90.00
Atoms (fractional coordinates):
Y (0.0000, 0.5000, 0.5000)
Y (0.5000, 0.5000, 0.0000)
Ir (0.0000, 0.0000, 0.0000)
Y (0.5000, 0.0000, 0.5000)

Output
Spin magnetization in Bohr magnetons per cell: 0.00
ΔE_f in eV/atom: -0.158

=====

(13)
CuHPd3 | PBE | optimized geometry

Unit cell a=4.8490 b=5.5998 c=5.5741 alpha=120.16 beta=90.31 gamma=107.18
Atoms (fractional coordinates):
Pd (0.6159, 0.5371, 0.1334)
Pd (0.1213, 0.0437, 0.3741)
Cu (0.6268, 0.0473, 0.1302)
Pd (0.6222, 0.0433, 0.6397)
H (0.3561, 0.7823, 0.2706)
Cu (0.1166, 0.0394, 0.8834)
Pd (0.6337, 0.5553, 0.6373)
Pd (0.1097, 0.5316, 0.3764)
Pd (0.1275, 0.5499, 0.8804)
H (0.3876, 0.3052, 0.7434)

Output
ΔE to the lowest computed polymorph in eV per atom: 0.013
Spin magnetization in Bohr magnetons per cell: 0.00

=====

(14)
PO | PBE | optimized geometry

Unit cell a=2.7188 b=2.5616 c=4.4716 alpha=90.00 beta=106.73 gamma=90.00
Atoms (fractional coordinates):
O (0.7069, 0.5000, 0.6311)
P (0.5842, 0.0000, 0.3716)

Output
ΔE to the lowest computed polymorph in eV per atom: 0.260
Spin magnetization in Bohr magnetons per cell: 0.00

=====

(15)
RbPuUCl6 | PBE | optimized geometry

Unit cell a=7.2244 b=7.2244 c=14.5869 alpha=90.00 beta=90.00 gamma=120.00
Each line ends with the local moment (μB).
Atoms (fractional coordinates):
Cl (0.9956, 0.6271, 0.3593)  -0.03
Cl (0.9956, 0.3685, 0.1407)  -0.03
U (0.3333, 0.6667, 0.7500)  2.99
Pu (0.3333, 0.6667, 0.2500)  5.63
Cl (0.3729, 0.0044, 0.1407)  -0.03
Cl (0.6315, 0.0044, 0.3593)  -0.03
U (0.6667, 0.3333, 0.2500)  2.99
Cl (0.3729, 0.3685, 0.3593)  -0.03
Cl (0.3685, 0.3729, 0.8593)  -0.03
Rb (0.0000, 0.0000, 0.5000)  0.00
Cl (0.0044, 0.6315, 0.8593)  -0.03
Pu (0.6667, 0.3333, 0.7500)  5.63
Cl (0.6315, 0.6271, 0.1407)  -0.03
Rb (0.0000, 0.0000, 0.0000)  0.00
Cl (0.6271, 0.6315, 0.6407)  -0.03
Cl (0.0044, 0.3729, 0.6407)  -0.03
Cl (0.6271, 0.9956, 0.8593)  -0.03
Cl (0.3685, 0.9956, 0.6407)  -0.03

Output
Spin magnetization in Bohr magnetons per cell: 18.00
Electronic total energy in eV/atom: -5.9800

=====

(16)
BaErOsO6 | PBE | optimized geometry

Unit cell a=5.5803 b=5.5803 c=5.6585 alpha=90.00 beta=90.00 gamma=60.00
Each line ends with the local moment (μB).
Atoms (fractional coordinates):
O (0.0418, 0.6023, 0.6938)  0.04
O (0.3559, 0.0418, 0.6938)  0.04
Er (0.6666, 0.6667, 0.5000)  0.04
Ba (0.0000, 0.0000, 0.0000)  0.01
O (0.6022, 0.3560, 0.6938)  0.04
O (0.3559, 0.6022, 0.3062)  0.04
O (0.0418, 0.3560, 0.3062)  0.04
Os (0.3333, 0.3333, 0.5000)  0.68
O (0.6022, 0.0418, 0.3062)  0.04

Output
Spin magnetization in Bohr magnetons per cell: 1.04
Electronic total energy in eV/atom: -7.4217

=====

(17)
NaIn2Pd | PBE | optimized geometry

Unit cell a=3.3381 b=3.3381 c=9.7864 alpha=80.18 beta=80.18 gamma=60.00
Atoms (fractional coordinates):
Pd (0.0000, 0.0000, 0.0000)
In (0.2622, 0.2622, 0.2133)
In (0.7378, 0.7378, 0.7867)
Na (0.5000, 0.5000, 0.5000)

Output
Spin magnetization in Bohr magnetons per cell: 0.00
ΔE_f in eV/atom: -0.192

=====

(18)
Ac6AsIr2I2 | PBE | optimized geometry

Unit cell a=7.7612 b=7.7612 c=8.6619 alpha=98.19 beta=98.19 gamma=118.87
Atoms (fractional coordinates):
Ac (0.7040, 0.7040, 0.6910)
Ac (0.2960, 0.2960, 0.3090)
Ir (0.3308, 0.6692, 0.5000)
Ac (0.4088, 0.0623, 0.6912)
I (0.1621, 0.8379, 0.0000)
Ac (0.0623, 0.4088, 0.6912)
I (0.8379, 0.1621, 0.0000)
Ir (0.6692, 0.3308, 0.5000)
As (0.0000, 0.0000, 0.5000)
Ac (0.9377, 0.5912, 0.3088)
Ac (0.5912, 0.9377, 0.3088)

Output
Spin magnetization in Bohr magnetons per cell: 0.44
Electronic total energy in eV/atom: -5.4985

=====

(19)
NaRe2NiS8 | PBE | optimized geometry

Unit cell a=5.9092 b=5.9092 c=9.8109 alpha=72.47 beta=72.47 gamma=60.00
Atoms (fractional coordinates):
S (0.8235, 0.8235, 0.5295)
Na (0.5000, 0.5000, 0.5000)
S (0.1765, 0.1765, 0.4705)
S (0.0554, 0.3716, 0.8512)
Re (0.7451, 0.7451, 0.7648)
S (0.7218, 0.0554, 0.8512)
S (0.3716, 0.7218, 0.8512)
Ni (0.0000, 0.0000, 0.0000)
S (0.6284, 0.2782, 0.1488)
S (0.2782, 0.9446, 0.1488)
Re (0.2549, 0.2549, 0.2352)
S (0.9446, 0.6284, 0.1488)

Output
Spin magnetization in Bohr magnetons per cell: 0.00
Electronic total energy in eV/atom: -5.7048

=====

(20)
Mn2SbAs | PBE | optimized geometry

Unit cell a=4.6426 b=4.6426 c=4.6426 alpha=60.00 beta=60.00 gamma=60.00
Each line ends with the local moment (μB).
Atoms (fractional coordinates):
Mn (0.7500, 0.7500, 0.7500)  3.31
As (0.5000, 0.5000, 0.5000)  -0.07
Sb (0.2500, 0.2500, 0.2500)  -0.10
Mn (0.0000, 0.0000, 0.0000)  3.08

Output
Spin magnetization in Bohr magnetons per cell: 6.28
Electronic total energy in eV/atom: -6.2778

=====

(21)
Th4BiPt | PBE | optimized geometry

Unit cell a=6.6711 b=7.0097 c=9.7153 alpha=90.00 beta=58.52 gamma=90.00
Atoms (fractional coordinates):
Pt (0.5000, 0.0000, 0.5000)
Th (0.5000, 0.3489, 0.3339)
Th (0.4662, 0.8369, 0.2364)
Th (0.5338, 0.1631, 0.7636)
Bi (0.5000, 0.5000, 0.0000)
Th (0.9662, 0.6631, 0.2364)
Th (0.0338, 0.3369, 0.7636)
Bi (0.0000, 0.0000, 0.0000)
Th (0.0000, 0.1511, 0.3339)
Th (0.0000, 0.8489, 0.6661)
Th (0.5000, 0.6511, 0.6661)
Pt (0.0000, 0.5000, 0.5000)

Output
Spin magnetization in Bohr magnetons per cell: 0.00
ΔE_f in eV/atom: -0.317

=====

(22)
LiNdSmIn | PBE | optimized geometry

Unit cell a=5.4084 b=5.4084 c=5.4084 alpha=60.00 beta=60.00 gamma=60.00
Atoms (fractional coordinates):
Nd (0.2500, 0.2500, 0.2500)
In (0.5000, 0.5000, 0.5000)
Sm (0.7500, 0.7500, 0.7500)
Li (0.0000, 0.0000, 0.0000)

Output
Spin magnetization in Bohr magnetons per cell: 0.00
ΔE_f in eV/atom: -0.265

=====

no.,calculated density (Mg/m³)
1,7.79
2,8.06
3,7.36
4,15.51
5,14.09
6,9.06
7,8.03
8,2.56
9,6.02
10,8.59
11,9.23
12,7.75
13,10.38
14,2.62
15,3.93
16,6.43
17,6.44
18,7.86
19,4.24
20,7.19
21,11.42
22,6.18